TiSb2TeI, optimized geometry, DFT PBE-GGA; total magnetic moment = 0.00 μB per cell; E = -4.150 eV/atom; crystal system = tetragonal; energy relative to the elements, uncorrected = 1.6 kJ per mole of atoms
1.0
5.400 0.000 0.000
0.000 5.400 0.000
0.000 0.000 5.215
Ti Sb Te I
1 2 1 1
direct
0.000 0.000 0.000 Ti
0.000 0.500 0.000 Sb
0.500 0.000 0.000 Sb
0.000 0.000 0.500 Te
0.500 0.500 0.500 I